Below is crystalline Y2FeCl at its relaxed geometry, with properties calculated at the PBE-GGA level.

Unit cell a=8.007 b=8.007 c=8.007 alpha=155.52 beta=154.12 gamma=35.92
Element x y z (fractional)
Y (0.000, 0.000, 0.000)
Y (0.787, 0.287, 0.500)
Fe (0.414, 0.414, 0.000)
Cl (0.166, 0.666, 0.500)

## Properties
Symmetry: Imm2 (44)
Distance to the lowest polymorph of the same formula in eV per atom: 0.1646
D(E_F) in states/eV/atom: 0.862
Formation energy from raw total energies in eV/atom: -0.473
VASP energy in eV per cell: -25.13